{"formula": "DyTm3Ga", "functional": "PBE", "state": "relaxed", "dft_energy_ev_per_cell": -42.71, "vol_a3_per_atom": 29.96, "lattice_angstrom": [[7.3075, -0.0142, -0.2955], [-2.0130, 7.0247, 0.2955], [-3.1723, -3.1087, 5.8724]], "species": ["Dy", "Dy", "Tm", "Tm", "Tm", "Tm", "Tm", "Tm", "Ga", "Ga"], "fractional_positions": [[0.7035, 0.0685, 0.7719], [0.2965, 0.9315, 0.2281], [0.8428, 0.0253, 0.2526], [0.2273, 0.4098, 0.2526], [0.7727, 0.5902, 0.7474], [0.7253, 0.4460, 0.1713], [0.1572, 0.9747, 0.7474], [0.2747, 0.5540, 0.8287], [0.6322, 0.7541, 0.3863], [0.3678, 0.2459, 0.6137]]}

***

{"formula": "Pm2ZnPd3", "functional": "PBE", "state": "relaxed", "dft_energy_ev_per_cell": -61.32, "vol_a3_per_atom": 21.42, "lattice_angstrom": [[-2.3093, 0.2666, -5.3178], [-0.8023, -5.5750, 1.3994], [-5.3824, 4.4314, 5.0612]], "species": ["Pm", "Pm", "Pm", "Pm", "Zn", "Zn", "Pd", "Pd", "Pd", "Pd", "Pd", "Pd"], "fractional_positions": [[0.2500, 0.7500, 0.5000], [0.7527, 0.7527, 0.0000], [0.7500, 0.2500, 0.5000], [0.2473, 0.2473, 0.0000], [0.6665, 0.6665, 0.3329], [0.3335, 0.3335, 0.6671], [0.3453, 0.8272, 0.1725], [0.1728, 0.6547, 0.8275], [0.6547, 0.1728, 0.8275], [0.8272, 0.3453, 0.1725], [0.1724, 0.1724, 0.3448], [0.8276, 0.8276, 0.6552]]}

***

{"formula": "SrTa3F", "functional": "PBE", "state": "relaxed", "e_form_raw_ev_per_atom": 3.002, "vol_a3_per_atom": 24.60, "lattice_angstrom": [[-0.8190, 4.1614, -2.5966], [0.2827, -2.5881, -4.2369], [-4.8969, -0.8454, 0.1896]], "species": ["Sr", "F", "Ta", "Ta", "Ta"], "fractional_positions": [[0.0000, 0.0000, 0.0000], [0.5000, 0.5000, 0.5000], [0.0000, 0.5000, 0.0000], [0.0000, 0.0000, 0.5000], [0.5000, 0.0000, 0.0000]]}